Entry 1:
A geometry-optimized Hf8NbGa2 structure. Source: Alexandria, functional GGA-PBE.

Lattice parameters (Å, degrees): 7.512 7.512 5.108 102.28 102.28 116.84
Fractional positions:
Hf  0.092  0.322  0.606
Hf  0.217  0.783  0.000
Hf  0.322  0.092  0.606
Hf  0.392  0.392  0.194
Hf  0.608  0.608  0.806
Hf  0.678  0.908  0.394
Hf  0.783  0.217  0.000
Hf  0.908  0.678  0.394
Nb  0.000  0.000  0.000
Ga  0.303  0.697  0.500
Ga  0.697  0.303  0.500

* DFT formation energy: -25 meV/atom
* calculated total energy: -96.03 eV for the cell shown
* SG: C2/m (12)

---

Entry 2:
A geometry-optimized Hf2Nb2Ga3 structure. Source: Alexandria, functional GGA-PBE.

Lattice parameters (Å, degrees): 3.037 6.872 7.005 117.07 92.96 100.09
Fractional positions:
Hf  0.160  0.274  0.336
Hf  0.840  0.726  0.664
Nb  0.112  0.394  0.787
Nb  0.888  0.606  0.213
Ga  0.457  0.848  0.060
Ga  0.500  0.000  0.500
Ga  0.543  0.152  0.940

* DFT formation energy: -284 meV/atom
* calculated total energy: -51.12 eV for the cell shown
* SG: P-1 (2)

---

Entry 3:
A geometry-optimized Hf3NbGa2 structure. Source: Alexandria, functional GGA-PBE.

Lattice parameters (Å, degrees): 7.292 7.292 3.702 90.00 90.00 144.62
Fractional positions:
Hf  0.000  0.000  0.000
Hf  0.329  0.671  0.000
Hf  0.671  0.329  0.000
Nb  0.500  0.500  0.500
Ga  0.155  0.845  0.500
Ga  0.845  0.155  0.500

* DFT formation energy: -360 meV/atom
* calculated total energy: -48.14 eV for the cell shown
* SG: Cmmm (65)

---

Entry 4:
A geometry-optimized HfNb2Ga structure. Source: Alexandria, functional GGA-PBE.

Lattice parameters (Å, degrees): 6.044 6.044 6.044 101.56 101.56 126.82
Fractional positions:
Hf  0.000  0.000  0.000
Hf  0.750  0.250  0.500
Nb  0.157  0.625  0.032
Nb  0.375  0.407  0.532
Nb  0.593  0.125  0.968
Nb  0.875  0.843  0.468
Ga  0.250  0.750  0.500
Ga  0.500  0.500  0.000

* DFT formation energy: 305 meV/atom
* calculated total energy: -63.80 eV for the cell shown
* SG: I-42d (122)

---

What is the formula in the fourth record? HfNb2Ga

---

Which value of DFT formation energy does entry 1 give? -25 meV/atom

---

Among the records above, which one has the lowest calculated total energy? Hf8NbGa2

---

Which formula does entry 3 have? Hf3NbGa2